A plane-wave DFT calculation with PBE with a Hubbard U was carried out for a relaxed MgCdMoF6 crystal.

Summary:
Uncorrected energy   -4.85 eV/atom

Unit cell a=5.6073 b=5.6073 c=10.5498 alpha=90.00 beta=90.00 gamma=120.00
With the nearest neighbours (Å) after each atom.
Sites, in units of the cell vectors:
Mg: 0.3333 0.6667 0.2500  6 F 2.04
Mg: 0.6667 0.3333 0.7500  6 F 2.04
Cd: 0.0000 0.0000 0.0000  6 F 2.59
Cd: 0.0000 0.0000 0.5000  6 F 2.59
Mo: 0.6667 0.3333 0.2500  6 F 2.12
Mo: 0.3333 0.6667 0.7500  6 F 2.12
F: 0.6271 0.6378 0.1486  1 Mg 2.04, 1 Mo 2.12
F: 0.0108 0.3729 0.1486  1 Mg 2.04, 1 Mo 2.12
F: 0.3729 0.0108 0.6486  1 Mg 2.04, 1 Mo 2.12
F: 0.9892 0.6271 0.8514  1 Mg 2.04, 1 Mo 2.12
F: 0.3622 0.3729 0.3514  1 Mg 2.04, 1 Mo 2.12
F: 0.0108 0.6378 0.3514  1 Mg 2.04, 1 Mo 2.12
F: 0.6378 0.0108 0.8514  1 Mg 2.04, 1 Mo 2.12
F: 0.6271 0.9892 0.3514  1 Mg 2.04, 1 Mo 2.12
F: 0.9892 0.3622 0.6486  1 Mg 2.04, 1 Mo 2.12
F: 0.3622 0.9892 0.1486  1 Mg 2.04, 1 Mo 2.12
F: 0.6378 0.6271 0.6486  1 Mg 2.04, 1 Mo 2.12
F: 0.3729 0.3622 0.8514  1 Mg 2.04, 1 Mo 2.12